*i*
First-principles (PBE) data for a relaxed structure of NiGeAs, as listed in Alexandria via LeMat-Bulk.

Cell and atoms, written as POSCAR:
```
NiGeAs
1.0
2.9680 0.0000 0.0000
0.0000 5.9569 0.0000
-1.5001 0.0000 5.6386
Ni Ge As
2 2 2
Direct
0.0000 0.0000 0.0000 Ni
0.0000 0.5000 0.0000 Ni
0.3905 0.2500 0.7825 Ge
0.6095 0.7500 0.2175 Ge
0.1708 0.2500 0.3281 As
0.8292 0.7500 0.6719 As
```

Results
spin magnetization: 0.00 μB per formula unit
theoretical density: 6.9 g/cm3
SG: P2_1/m (11)
V: 16.62 A^3/atom

*ii*
First-principles (PBE) data for a relaxed structure of NiGeAs, as listed in Alexandria via LeMat-Bulk.

Cell and atoms, written as POSCAR:
```
NiGeAs
1.0
0.0000 2.9096 2.9096
2.9096 0.0000 2.9096
2.9096 2.9096 0.0000
Ni Ge As
1 1 1
Direct
0.0000 0.0000 0.0000 Ni
0.2500 0.2500 0.2500 Ge
0.7500 0.7500 0.7500 As
```

Results
spin magnetization: 0.00 μB per formula unit
theoretical density: 7.0 g/cm3
SG: F-43m (216)
V: 16.42 A^3/atom

*iii*
First-principles (PBE) data for a relaxed structure of NiGeAs, as listed in Alexandria via LeMat-Bulk.

Cell and atoms, written as POSCAR:
```
NiGeAs
1.0
2.9855 0.0000 0.0000
0.0000 5.3566 0.0000
0.0000 0.0000 6.0101
Ni Ge As
2 2 2
Direct
0.0000 0.2411 0.0000 Ni
0.5000 0.7589 0.5000 Ni
0.0000 0.4354 0.3615 Ge
0.5000 0.5646 0.8615 Ge
0.0000 0.0742 0.6326 As
0.5000 0.9258 0.1326 As
```

Results
spin magnetization: 0.00 μB per formula unit
theoretical density: 7.1 g/cm3
SG: Pmn2_1 (31)
V: 16.02 A^3/atom

*iv*
First-principles (PBE) data for a relaxed structure of NiGeAs, as listed in Alexandria via LeMat-Bulk.

Cell and atoms, written as POSCAR:
```
NiGeAs
1.0
5.8059 -1.7137 0.0000
5.8059 1.7137 0.0000
-2.6178 0.0000 4.9971
Ni Ge As
2 2 2
Direct
0.0000 0.0000 0.0000 Ni
0.2238 0.2238 0.3715 Ni
0.3254 0.3254 0.8601 Ge
0.6527 0.6527 0.9710 Ge
0.5687 0.5687 0.3656 As
0.8887 0.8887 0.5244 As
```

Results
spin magnetization: 0.00 μB per formula unit
theoretical density: 6.9 g/cm3
SG: Cm (8)
V: 16.57 A^3/atom

Ordering by calculated energy gives the sequence *iii*, *ii*, *iv*, *i*, with the first entry being the most stable.

*i*
First-principles (PBE) data for a relaxed structure of Ni4GeAs, as listed in Alexandria via LeMat-Bulk.

Cell and atoms, written as POSCAR:
```
Ni4GeAs
1.0
4.9102 0.0000 0.0000
-0.0079 5.0093 0.0000
-2.4441 -1.5198 6.6194
Ni Ge As
8 2 2
Direct
0.0066 0.4450 0.1720 Ni
0.1657 0.9445 0.1716 Ni
0.2981 0.8730 0.7273 Ni
0.4288 0.3730 0.7264 Ni
0.5712 0.6270 0.2736 Ni
0.7019 0.1270 0.2727 Ni
0.8343 0.0555 0.8284 Ni
0.9934 0.5550 0.8280 Ni
0.3202 0.2504 0.0000 Ge
0.6798 0.7496 0.0000 Ge
0.0000 0.5000 0.5000 As
0.5000 0.0000 0.5000 As
```

Results
spin magnetization: 0.00 μB per formula unit
theoretical density: 7.8 g/cm3
SG: P-1 (2)
V: 13.57 A^3/atom

*ii*
First-principles (PBE) data for a relaxed structure of Ni4GeAs, as listed in Alexandria via LeMat-Bulk.

Cell and atoms, written as POSCAR:
```
Ni4GeAs
1.0
6.4775 0.0000 0.0000
0.0000 2.9782 0.0000
0.0000 0.0000 15.2472
Ni Ge As
16 4 4
Direct
0.0453 0.2500 0.2053 Ni
0.0469 0.2500 0.9326 Ni
0.1114 0.2500 0.4385 Ni
0.1251 0.2500 0.6682 Ni
0.3749 0.7500 0.1682 Ni
0.3886 0.7500 0.9385 Ni
0.4531 0.7500 0.4326 Ni
0.4547 0.7500 0.7053 Ni
0.5453 0.2500 0.2947 Ni
0.5469 0.2500 0.5674 Ni
0.6114 0.2500 0.0615 Ni
0.6251 0.2500 0.8318 Ni
0.8749 0.7500 0.3318 Ni
0.8886 0.7500 0.5615 Ni
0.9531 0.7500 0.0674 Ni
0.9547 0.7500 0.7947 Ni
0.2332 0.7500 0.3109 Ge
0.2668 0.2500 0.8109 Ge
0.7332 0.7500 0.1891 Ge
0.7668 0.2500 0.6891 Ge
0.2459 0.2500 0.0604 As
0.2541 0.7500 0.5604 As
0.7459 0.2500 0.4396 As
0.7541 0.7500 0.9396 As
```

Results
spin magnetization: 0.00 μB per formula unit
theoretical density: 8.6 g/cm3
SG: Pnma (62)
V: 12.26 A^3/atom

Ordering by calculated energy gives the sequence *ii*, *i*, with the first entry being the most stable.